Material: K2CaAs
Method: DFT, PBEsol
State: optimized geometry

Output
- calculated density (g cm⁻³) = 1.5
- N(E_F) (states/eV/f.u.) = 2.0
- magnetization (μB/atom) = 0.000
- E_form (meV per atom) = -290

Unit cell a=5.5890 b=15.1504 c=5.0773 alpha=90.00 beta=90.00 gamma=90.00
Space group Cmmm (No. 65)
Symmetry-distinct sites (fractional):
K  0.0000  0.1323  0.0000 x4
Ca  0.0000  0.5000  0.5000 x2
As  0.0000  0.0000  0.5000 x2